No. 1
A relaxed BaLaMgBiO6 crystal, computed with PBE.

abc: 5.8670 5.8670 5.8670
angles: 60.00 60.00 60.00
Fractional coordinates of all 10 atoms:
O1 0.7470 0.2530 0.7470
La1 0.7500 0.7500 0.7500
Mg1 0.5000 0.5000 0.5000
O2 0.7470 0.2530 0.2530
O3 0.7470 0.7470 0.2530
Ba1 0.2500 0.2500 0.2500
O4 0.2530 0.2530 0.7470
Bi1 0.0000 0.0000 0.0000
O5 0.2530 0.7470 0.7470
O6 0.2530 0.7470 0.2530

Results
Its formation energy from raw total energies is -2207 meV/atom. Its total energy is -64.15 eV/cell. The mass density is 7.0 g cm⁻³. The space group is F-43m.

---

No. 2
A relaxed Pr4Dy3Zn crystal, computed with PBE.

abc: 3.6743 3.6743 18.9098
angles: 90.00 90.00 90.00
Fractional coordinates of all 8 atoms:
Pr1 0.0000 0.0000 0.0984
Dy1 0.5000 0.5000 0.7651
Dy2 0.5000 0.5000 0.2349
Pr2 0.0000 0.0000 0.9016
Zn1 0.5000 0.5000 0.0000
Pr3 0.0000 0.0000 0.6330
Dy3 0.5000 0.5000 0.5000
Pr4 0.0000 0.0000 0.3670

Results
Its total energy is -34.66 eV/cell. Its energy relative to the elements is -0.06 eV per atom. The mass density is 7.3 g cm⁻³. Its density of states at the Fermi level is 10.56 states/eV/f.u. The space group is P4/mmm.

---

No. 3
A relaxed TlNi2Pb crystal, computed with PBE.

abc: 3.3041 3.3040 6.5815
angles: 90.00 90.00 90.00
Fractional coordinates of all 4 atoms:
Pb1 0.5000 0.5000 0.2500
Ni1 0.0000 0.0000 0.5257
Ni2 0.0000 0.0000 0.9743
Tl1 0.5000 0.5000 0.7500

Results
Its total energy is -16.31 eV/cell. Its energy relative to the elements is 0.33 eV per atom. The mass density is 12.2 g cm⁻³. Its density of states at the Fermi level is 1.54 states/eV/f.u. The space group is P4/mmm.

---

No. 4
A relaxed Nd7HgRh4 crystal, computed with PBE.

abc: 5.7561 8.6397 7.4785
angles: 74.69 67.37 70.54
Fractional coordinates of all 12 atoms:
Rh1 0.2950 0.3385 0.0716
Rh2 0.4349 0.7757 0.3546
Nd1 0.3256 0.6225 0.7263
Nd2 0.0781 0.6255 0.2183
Nd3 0.2058 0.1156 0.4727
Nd4 0.9219 0.3745 0.7817
Rh3 0.5651 0.2243 0.6454
Nd5 0.6744 0.3775 0.2737
Hg1 0.0000 0.0000 0.0000
Nd6 0.5000 0.0000 0.0000
Rh4 0.7050 0.6615 0.9284
Nd7 0.7942 0.8844 0.5273

Results
Its total energy is -67.66 eV/cell. Its energy relative to the elements is -0.38 eV per atom. The mass density is 8.4 g cm⁻³. Its density of states at the Fermi level is 8.91 states/eV/f.u. The space group is C2/m.

---

No. 5
A relaxed CuBF2 crystal, computed with PBE.

abc: 9.9000 9.9000 9.9000
angles: 15.00 15.00 15.00
Last column: magnetic moment on the atom in μB.
Fractional coordinates of all 4 atoms:
F1 0.0457 0.0457 0.0457  0.14
B1 0.0000 0.0000 0.0000  0.23
F2 0.9543 0.9543 0.9543  0.14
Cu1 0.5000 0.5000 0.5000  0.02

Results
Its formation energy from raw total energies is -764 meV/atom. Its total energy is -17.57 eV/cell. The mass density is 3.3 g cm⁻³. Its density of states at the Fermi level is 2.51 states/eV/f.u. The polymorph energy (0 for the lowest one) is 0.0 meV per atom. The space group is R-3m.

---

No. 6
A relaxed VAg crystal, computed with PBE.

abc: 5.9786 5.9786 5.9786
angles: 90.00 90.00 90.00
Last column: magnetic moment on the atom in μB.
Fractional coordinates of all 8 atoms:
Ag1 0.5000 0.5000 0.0000  0.05
Ag2 0.5000 0.0000 0.5000  0.05
V1 0.7500 0.7500 0.2500  2.60
V2 0.2500 0.7500 0.7500  2.60
V3 0.2500 0.2500 0.2500  2.60
V4 0.7500 0.2500 0.7500  2.60
Ag3 0.0000 0.0000 0.0000  0.05
Ag4 0.0000 0.5000 0.5000  0.05

Results
Its total energy is -34.04 eV/cell. Its energy relative to the elements is 1.73 eV per atom. The mass density is 4.9 g cm⁻³. Its density of states at the Fermi level is 6.02 states/eV/f.u. The space group is F-43m.